1.
Material: Sc2AlHRh
Method: DFT, GGA-PBE
State: optimized geometry

Output
- Electronic total energy: -6.068 eV per atom

```
Sc2AlHRh
1.0
4.473 0.000 0.000
0.000 4.473 0.000
0.000 0.000 3.730
Sc Al H Rh
2 1 1 1
Cartesian
0.000 2.236 0.000
2.236 0.000 0.000
0.000 0.000 1.865
2.236 2.236 0.000
2.236 2.236 1.865
```

2.
Material: Ac3Ga4
Method: DFT, GGA-PBE
State: optimized geometry

Output
- Electronic total energy: -3.979 eV per atom
- DFT formation energy: -0.489 eV per atom

```
Ac3Ga4
1.0
2.312 -5.790 0.000
2.312 5.790 0.000
0.000 0.000 14.880
Ac Ga
6 8
Cartesian
2.312 5.659 7.440
2.312 2.532 12.672
2.312 2.528 2.208
2.312 -2.528 9.648
2.312 -2.532 5.232
2.312 -5.659 0.000
2.312 5.787 3.721
2.312 -5.787 11.161
2.312 2.351 7.440
2.312 0.843 5.166
2.312 0.849 9.714
2.312 -0.849 2.274
2.312 -0.843 12.606
2.312 -2.351 14.880
```

3.
Material: GaSb3Os
Method: DFT, GGA-PBE
State: optimized geometry

Output
- Electronic total energy: -4.663 eV per atom
- Formation energy (no corrections): 0.662 eV per atom

```
GaSb3Os
1.0
5.201 0.000 0.000
0.000 5.201 0.000
0.000 0.000 5.201
Ga Sb Os
1 3 1
Cartesian
0.000 0.000 0.000
0.000 2.601 2.601
2.601 0.000 2.601
2.601 2.601 0.000
2.601 2.601 2.601
```